# 1
Crystalline TaSiNi3 at its relaxed geometry. Source: Alexandria, functional PBE.

- formation energy (no corrections) (eV/atom) = 1.4225

Unit cell a=4.544 b=4.544 c=4.544 alpha=90.00 beta=90.00 gamma=90.00
Fractional coordinates of all 5 atoms:
Ta  0.000  0.000  0.000
Si  0.500  0.500  0.500
Ni  0.000  0.000  0.500
Ni  0.000  0.500  0.000
Ni  0.500  0.000  0.000


# 2
Crystalline PaZn3Au3 at its relaxed geometry. Source: Alexandria, functional PBE.

- calculated formation energy (eV per formula unit) = -1.2

Unit cell a=7.606 b=7.606 c=7.606 alpha=54.73 beta=54.73 gamma=54.73
Fractional coordinates of all 14 atoms:
Pa  0.160  0.160  0.160
Pa  0.840  0.840  0.840
Zn  0.047  0.607  0.230
Zn  0.230  0.047  0.607
Zn  0.393  0.770  0.953
Zn  0.607  0.230  0.047
Zn  0.770  0.953  0.393
Zn  0.953  0.393  0.770
Au  0.189  0.676  0.433
Au  0.324  0.567  0.811
Au  0.433  0.189  0.676
Au  0.567  0.811  0.324
Au  0.676  0.433  0.189
Au  0.811  0.324  0.567


Summary of M_tot in μB/f.u.
0.000, 0.563
(order as listed above)
Summary of polymorph energy (0 for the lowest one) in meV/atom
1064, 0
(order as listed above)
Summary of uncorrected energy in eV per formula unit
-27.5, -24.3
(order as listed above)